# 1
Here is a geometry-optimized BaLi9Zn2 structure from Alexandria. Energies are from PBE.

Unit cell a=9.4067 b=9.4067 c=5.7178 alpha=90.00 beta=90.00 gamma=90.00
Positions (direct):
Ba 0.0000 0.0000 0.0000
Ba 0.5000 0.5000 0.0000
Li 0.0000 0.5000 0.5000
Li 0.0728 0.2169 0.5000
Li 0.1728 0.6728 0.2274
Li 0.1728 0.6728 0.7726
Li 0.2169 0.9272 0.5000
Li 0.2831 0.4272 0.5000
Li 0.3272 0.1728 0.2274
Li 0.3272 0.1728 0.7726
Li 0.4272 0.7169 0.5000
Li 0.5000 0.0000 0.5000
Li 0.5728 0.2831 0.5000
Li 0.6728 0.8272 0.2274
Li 0.6728 0.8272 0.7726
Li 0.7169 0.5728 0.5000
Li 0.7831 0.0728 0.5000
Li 0.8272 0.3272 0.2274
Li 0.8272 0.3272 0.7726
Li 0.9272 0.7831 0.5000
Zn 0.1032 0.3968 0.0000
Zn 0.3968 0.8968 0.0000
Zn 0.6032 0.1032 0.0000
Zn 0.8968 0.6032 0.0000

Calculated values
The symmetry is P4/mbm, No. 127. For the energy of formation from the pure elements, the calculation gives 0.001 eV per atom.

---

# 2
Here is a geometry-optimized Ba4LiZn structure from Alexandria. Energies are from PBE.

Unit cell a=4.2683 b=4.2683 c=15.2402 alpha=90.00 beta=90.00 gamma=90.00
Positions (direct):
Ba 0.0000 0.0000 0.1246
Ba 0.0000 0.0000 0.8754
Ba 0.5000 0.5000 0.3562
Ba 0.5000 0.5000 0.6438
Li 0.0000 0.0000 0.5000
Zn 0.5000 0.5000 0.0000

Calculated values
The symmetry is P4/mmm, No. 123. For the energy of formation from the pure elements, the calculation gives -0.044 eV per atom. The energy above the most stable polymorph in this dataset comes out at 0 meV per atom.

---

# 3
Here is a geometry-optimized BaLiZn3 structure from Alexandria. Energies are from PBE.

Unit cell a=6.1774 b=6.1774 c=6.1774 alpha=90.00 beta=90.00 gamma=90.00
Positions (direct):
Ba 0.0000 0.0000 0.0000
Li 0.5000 0.5000 0.5000
Zn 0.0000 0.0000 0.5000
Zn 0.0000 0.5000 0.0000
Zn 0.5000 0.0000 0.0000

Calculated values
The symmetry is Pm-3m, No. 221. For the energy of formation from the pure elements, the calculation gives 0.717 eV per atom. The energy above the most stable polymorph in this dataset comes out at 860 meV per atom.

---

- energy of formation from the pure elements of number 1 (BaLi9Zn2)?
  0.001 eV per atom

---

- Which of these has the highest energy of formation from the pure elements?
  BaLiZn3

---

- Which of these has the highest energy of formation from the pure elements?
  BaLiZn3

---

Repeat the first record exactly.
Here is a geometry-optimized BaLi9Zn2 structure from Alexandria. Energies are from PBE.

Unit cell a=9.4067 b=9.4067 c=5.7178 alpha=90.00 beta=90.00 gamma=90.00
Positions (direct):
Ba 0.0000 0.0000 0.0000
Ba 0.5000 0.5000 0.0000
Li 0.0000 0.5000 0.5000
Li 0.0728 0.2169 0.5000
Li 0.1728 0.6728 0.2274
Li 0.1728 0.6728 0.7726
Li 0.2169 0.9272 0.5000
Li 0.2831 0.4272 0.5000
Li 0.3272 0.1728 0.2274
Li 0.3272 0.1728 0.7726
Li 0.4272 0.7169 0.5000
Li 0.5000 0.0000 0.5000
Li 0.5728 0.2831 0.5000
Li 0.6728 0.8272 0.2274
Li 0.6728 0.8272 0.7726
Li 0.7169 0.5728 0.5000
Li 0.7831 0.0728 0.5000
Li 0.8272 0.3272 0.2274
Li 0.8272 0.3272 0.7726
Li 0.9272 0.7831 0.5000
Zn 0.1032 0.3968 0.0000
Zn 0.3968 0.8968 0.0000
Zn 0.6032 0.1032 0.0000
Zn 0.8968 0.6032 0.0000

Calculated values
The symmetry is P4/mbm, No. 127. For the energy of formation from the pure elements, the calculation gives 0.001 eV per atom.